Entry from Alexandria: a PBEsol-optimized structure of YCuAsIr2 (SCAN).

POSCAR file:
```
YCuAsIr2
1.0
4.6195 0.0000 0.0000
0.0000 4.6195 0.0000
0.0000 0.0000 4.3158
Y Cu As Ir
1 1 1 2
Direct
0.0000 0.0000 0.0000 Y
0.5000 0.5000 0.5000 Cu
0.5000 0.5000 0.0000 As
0.0000 0.5000 0.5000 Ir
0.5000 0.0000 0.5000 Ir
```

Summary:
DFT total energy, eV for the cell shown: -203.9
Formation energy, meV/atom: 312
Space-group type: P4/mmm